{"formula": "Ba2AgHgH6", "functional": "GGA-PBE", "state": "optimized geometry", "n_ef_per_ev_cell": 0.62, "magmom_total_mub_per_cell": 0.00, "lattice_angstrom": [[4.189, -4.185, 0.000], [4.189, 4.185, 0.000], [-4.182, 0.000, 4.231]], "species": ["Ba", "Ba", "Ag", "Hg", "H", "H", "H", "H", "H", "H"], "fractional_positions": [[0.250, 0.750, 0.000], [0.750, 0.250, 0.000], [0.000, 0.000, 0.500], [0.500, 0.500, 0.500], [0.229, 0.229, 0.499], [0.230, 0.770, 0.500], [0.231, 0.231, 0.962], [0.769, 0.769, 0.038], [0.770, 0.230, 0.500], [0.771, 0.771, 0.501]]}

{"formula": "Dy4Tm9Zn11", "functional": "GGA-PBE", "state": "optimized geometry", "n_ef_per_ev_cell": 24.10, "magmom_total_mub_per_cell": 0.00, "delta_e_f_ev_per_atom": -0.245, "lattice_angstrom": [[7.644, -10.471, 0.000], [7.644, 10.471, 0.000], [0.000, 0.000, 3.408]], "species": ["Dy", "Dy", "Dy", "Dy", "Tm", "Tm", "Tm", "Tm", "Tm", "Tm", "Tm", "Tm", "Tm", "Zn", "Zn", "Zn", "Zn", "Zn", "Zn", "Zn", "Zn", "Zn", "Zn", "Zn"], "fractional_positions": [[0.083, 0.255, 0.000], [0.255, 0.083, 0.000], [0.745, 0.917, 0.000], [0.917, 0.745, 0.000], [0.000, 0.000, 0.000], [0.123, 0.649, 0.000], [0.295, 0.480, 0.000], [0.351, 0.877, 0.000], [0.480, 0.295, 0.000], [0.520, 0.705, 0.000], [0.649, 0.123, 0.000], [0.705, 0.520, 0.000], [0.877, 0.351, 0.000], [0.084, 0.448, 0.500], [0.131, 0.869, 0.500], [0.288, 0.288, 0.500], [0.323, 0.677, 0.500], [0.448, 0.084, 0.500], [0.500, 0.500, 0.500], [0.552, 0.916, 0.500], [0.677, 0.323, 0.500], [0.712, 0.712, 0.500], [0.869, 0.131, 0.500], [0.916, 0.552, 0.500]]}

{"formula": "SrSnPb3", "functional": "GGA-PBE", "state": "optimized geometry", "n_ef_per_ev_cell": 3.84, "magmom_total_mub_per_cell": 0.00, "delta_e_f_ev_per_atom": 0.184, "lattice_angstrom": [[5.854, 0.000, 0.000], [0.000, 5.854, 0.000], [0.000, 0.000, 5.854]], "species": ["Sr", "Sn", "Pb", "Pb", "Pb"], "fractional_positions": [[0.000, 0.000, 0.000], [0.500, 0.500, 0.500], [0.000, 0.500, 0.500], [0.500, 0.000, 0.500], [0.500, 0.500, 0.000]]}

{"formula": "Pr3Zr5Se12", "functional": "GGA-PBE", "state": "optimized geometry", "n_ef_per_ev_cell": 53.14, "formation_energy_uncorrected_ev_per_atom": -1.292, "magmom_total_mub_per_cell": 14.43, "lattice_angstrom": [[-8.284, 8.284, 8.284], [8.284, -8.284, 8.284], [8.284, 8.284, -8.284]], "species": ["Pr", "Pr", "Pr", "Pr", "Pr", "Pr", "Pr", "Pr", "Pr", "Pr", "Pr", "Pr", "Zr", "Zr", "Zr", "Zr", "Zr", "Zr", "Zr", "Zr", "Zr", "Zr", "Zr", "Zr", "Zr", "Zr", "Zr", "Zr", "Zr", "Zr", "Zr", "Zr", "Se", "Se", "Se", "Se", "Se", "Se", "Se", "Se", "Se", "Se", "Se", "Se", "Se", "Se", "Se", "Se", "Se", "Se", "Se", "Se", "Se", "Se", "Se", "Se", "Se", "Se", "Se", "Se", "Se", "Se", "Se", "Se", "Se", "Se", "Se", "Se", "Se", "Se", "Se", "Se", "Se", "Se", "Se", "Se", "Se", "Se", "Se", "Se"], "fractional_positions": [[0.125, 0.250, 0.375], [0.125, 0.375, 0.750], [0.250, 0.375, 0.125], [0.250, 0.875, 0.625], [0.375, 0.125, 0.250], [0.375, 0.750, 0.125], [0.625, 0.250, 0.875], [0.625, 0.875, 0.750], [0.750, 0.125, 0.375], [0.750, 0.625, 0.875], [0.875, 0.625, 0.250], [0.875, 0.750, 0.625], [0.000, 0.000, 0.000], [0.000, 0.000, 0.500], [0.000, 0.500, 0.000], [0.000, 0.500, 0.500], [0.125, 0.750, 0.875], [0.125, 0.875, 0.250], [0.250, 0.125, 0.875], [0.250, 0.625, 0.375], [0.375, 0.250, 0.625], [0.375, 0.625, 0.750], [0.500, 0.000, 0.000], [0.500, 0.000, 0.500], [0.500, 0.500, 0.000], [0.500, 0.500, 0.500], [0.625, 0.375, 0.250], [0.625, 0.750, 0.375], [0.750, 0.375, 0.625], [0.750, 0.875, 0.125], [0.875, 0.125, 0.750], [0.875, 0.250, 0.125], [0.039, 0.215, 0.124], [0.039, 0.323, 0.915], [0.085, 0.624, 0.408], [0.085, 0.961, 0.677], [0.092, 0.715, 0.677], [0.092, 0.876, 0.415], [0.124, 0.039, 0.215], [0.124, 0.585, 0.908], [0.177, 0.215, 0.592], [0.177, 0.461, 0.585], [0.215, 0.124, 0.039], [0.215, 0.592, 0.177], [0.285, 0.323, 0.908], [0.285, 0.461, 0.376], [0.323, 0.908, 0.285], [0.323, 0.915, 0.039], [0.376, 0.285, 0.461], [0.376, 0.592, 0.915], [0.408, 0.085, 0.624], [0.408, 0.823, 0.785], [0.415, 0.092, 0.876], [0.415, 0.823, 0.539], [0.461, 0.376, 0.285], [0.461, 0.585, 0.177], [0.539, 0.415, 0.823], [0.539, 0.624, 0.715], [0.585, 0.177, 0.461], [0.585, 0.908, 0.124], [0.592, 0.177, 0.215], [0.592, 0.915, 0.376], [0.624, 0.408, 0.085], [0.624, 0.715, 0.539], [0.677, 0.085, 0.961], [0.677, 0.092, 0.715], [0.715, 0.539, 0.624], [0.715, 0.677, 0.092], [0.785, 0.408, 0.823], [0.785, 0.876, 0.961], [0.823, 0.539, 0.415], [0.823, 0.785, 0.408], [0.876, 0.415, 0.092], [0.876, 0.961, 0.785], [0.908, 0.124, 0.585], [0.908, 0.285, 0.323], [0.915, 0.039, 0.323], [0.915, 0.376, 0.592], [0.961, 0.677, 0.085], [0.961, 0.785, 0.876]]}

{"formula": "Tb2Ho2Hg", "functional": "GGA-PBE", "state": "optimized geometry", "n_ef_per_ev_cell": 19.64, "magmom_total_mub_per_cell": 1.99, "delta_e_f_ev_per_atom": -0.036, "lattice_angstrom": [[-2.516, 2.516, 12.529], [2.516, -2.516, 12.529], [2.516, 2.516, -12.529]], "species": ["Tb", "Tb", "Tb", "Tb", "Ho", "Ho", "Ho", "Ho", "Hg", "Hg"], "fractional_positions": [[0.052, 0.302, 0.750], [0.302, 0.052, 0.250], [0.698, 0.948, 0.750], [0.948, 0.698, 0.250], [0.201, 0.451, 0.750], [0.451, 0.201, 0.250], [0.549, 0.799, 0.750], [0.799, 0.549, 0.250], [0.375, 0.625, 0.750], [0.625, 0.375, 0.250]]}

{"formula": "Tc2Ir", "functional": "GGA-PBE", "state": "optimized geometry", "n_ef_per_ev_cell": 14.41, "magmom_total_mub_per_cell": 0.00, "delta_e_f_ev_per_atom": -0.116, "lattice_angstrom": [[-1.938, 1.938, 11.590], [1.938, -1.938, 11.590], [1.938, 1.938, -11.590]], "species": ["Tc", "Tc", "Tc", "Tc", "Tc", "Tc", "Tc", "Tc", "Ir", "Ir", "Ir", "Ir"], "fractional_positions": [[0.125, 0.375, 0.750], [0.292, 0.542, 0.750], [0.375, 0.125, 0.250], [0.458, 0.708, 0.750], [0.542, 0.292, 0.250], [0.625, 0.875, 0.750], [0.708, 0.458, 0.250], [0.875, 0.625, 0.250], [0.042, 0.792, 0.250], [0.208, 0.958, 0.250], [0.792, 0.042, 0.750], [0.958, 0.208, 0.750]]}

{"formula": "ZnW", "functional": "GGA-PBE", "state": "optimized geometry", "n_ef_per_ev_cell": 6.91, "magmom_total_mub_per_cell": 0.00, "delta_e_f_ev_per_atom": 0.402, "lattice_angstrom": [[8.328, 0.000, 0.000], [0.000, 8.328, 0.000], [0.000, 0.000, 3.708]], "species": ["Zn", "Zn", "Zn", "Zn", "Zn", "Zn", "Zn", "Zn", "W", "W", "W", "W", "W", "W", "W", "W"], "fractional_positions": [[0.000, 0.332, 0.000], [0.000, 0.668, 0.000], [0.168, 0.500, 0.500], [0.332, 0.000, 0.000], [0.500, 0.168, 0.500], [0.500, 0.832, 0.500], [0.668, 0.000, 0.000], [0.832, 0.500, 0.500], [0.164, 0.164, 0.500], [0.164, 0.836, 0.500], [0.336, 0.336, 0.000], [0.336, 0.664, 0.000], [0.664, 0.336, 0.000], [0.664, 0.664, 0.000], [0.836, 0.164, 0.500], [0.836, 0.836, 0.500]]}

{"formula": "SiGe4Se6", "functional": "GGA-PBE", "state": "optimized geometry", "formation_energy_uncorrected_ev_per_atom": -0.220, "magmom_total_mub_per_cell": 0.00, "lattice_angstrom": [[8.142, -3.517, 0.000], [8.142, 3.517, 0.000], [-7.409, 0.000, 10.964]], "species": ["Si", "Si", "Ge", "Ge", "Ge", "Ge", "Ge", "Ge", "Ge", "Ge", "Se", "Se", "Se", "Se", "Se", "Se", "Se", "Se", "Se", "Se", "Se", "Se"], "fractional_positions": [[0.228, 0.772, 0.500], [0.772, 0.228, 0.000], [0.212, 0.316, 0.590], [0.241, 0.646, 0.910], [0.241, 0.943, 0.292], [0.316, 0.212, 0.090], [0.641, 0.854, 0.784], [0.646, 0.241, 0.410], [0.854, 0.641, 0.284], [0.943, 0.241, 0.792], [0.014, 0.475, 0.755], [0.115, 0.702, 0.293], [0.307, 0.952, 0.882], [0.432, 0.897, 0.561], [0.441, 0.487, 0.577], [0.475, 0.014, 0.255], [0.487, 0.441, 0.077], [0.702, 0.115, 0.793], [0.897, 0.432, 0.061], [0.918, 0.997, 0.562], [0.952, 0.307, 0.382], [0.997, 0.918, 0.062]]}

{"formula": "BaSr3Ag3", "functional": "GGA-PBE", "state": "optimized geometry", "n_ef_per_ev_cell": 11.47, "magmom_total_mub_per_cell": 0.00, "delta_e_f_ev_per_atom": 0.084, "lattice_angstrom": [[8.723, 0.000, 0.000], [0.000, 8.723, 0.000], [0.000, 0.000, 8.723]], "species": ["Ba", "Ba", "Sr", "Sr", "Sr", "Sr", "Sr", "Sr", "Ag", "Ag", "Ag", "Ag", "Ag", "Ag"], "fractional_positions": [[0.000, 0.000, 0.000], [0.500, 0.500, 0.500], [0.000, 0.250, 0.500], [0.000, 0.750, 0.500], [0.250, 0.500, 0.000], [0.500, 0.000, 0.250], [0.500, 0.000, 0.750], [0.750, 0.500, 0.000], [0.000, 0.500, 0.250], [0.000, 0.500, 0.750], [0.250, 0.000, 0.500], [0.500, 0.250, 0.000], [0.500, 0.750, 0.000], [0.750, 0.000, 0.500]]}

In eV/atom, the total energy values for the records above are, in order, -2.8992, -3.2728, -3.1779, -6.2371, -3.7796, -9.9804, -6.7119, -4.2924, -2.1335.